Record 1
The following is a PBE-GGA calculation of a geometry-optimized Al3HW structure, from Alexandria.

The total DFT energy (no corrections) comes out at -26.8 eV for the cell shown. The density is 6.990 Mg/m³. The value obtained for the total magnetization is 0.0 μB per formula unit.

The structure belongs to space group Pm-3m (No. 221); the cell edges are 3.982, 3.982 and 3.982 Å and the angles 90.00°, 90.00° and 90.00°. The asymmetric unit holds Al at (0.000, 0.000, 0.500), H at (0.000, 0.000, 0.000) and W at (0.500, 0.500, 0.500).

Record 2
The following is a PBE-GGA calculation of a geometry-optimized AlHW2 structure, from Alexandria.

The total DFT energy (no corrections) comes out at -125.3 eV for the cell shown. The density is 12.689 Mg/m³. The value obtained for the total magnetization is 0.0 μB per formula unit.

The structure belongs to space group I-42d (No. 122); the cell edges are 6.084, 6.084 and 5.595 Å and the angles 90.00°, 90.00° and 90.00°. The asymmetric unit holds Al at (0.000, 0.000, 0.000), H at (0.000, 0.000, 0.500) and W at (0.142, 0.750, 0.625).

Record 3
The following is a PBE-GGA calculation of a geometry-optimized AlHW3 structure, from Alexandria.

The total DFT energy (no corrections) comes out at -44.6 eV for the cell shown. The density is 14.618 Mg/m³. The value obtained for the total magnetization is 0.0 μB per formula unit.

The structure belongs to space group Pm-3m (No. 221); the cell edges are 4.038, 4.038 and 4.038 Å and the angles 90.00°, 90.00° and 90.00°. The asymmetric unit holds Al at (0.000, 0.000, 0.000), H at (0.500, 0.500, 0.500) and W at (0.000, 0.500, 0.500).

Record 4
The following is a PBE-GGA calculation of a geometry-optimized Al2H6W structure, from Alexandria.

The total DFT energy (no corrections) comes out at -80.2 eV for the cell shown. The density is 5.849 Mg/m³. The value obtained for the total magnetization is 0.0 μB per formula unit.

The structure belongs to space group P2_1/c (No. 14); the cell edges are 4.605, 4.654 and 7.886 Å and the angles 90.00°, 124.99° and 90.00°. The asymmetric unit holds Al at (0.249, 0.011, 0.251), H at (0.154, 0.020, 0.731), H at (0.210, 0.710, 0.531), H at (0.322, 0.178, 0.528) and W at (0.500, 0.000, 0.000).

Record 5
The following is a PBE-GGA calculation of a geometry-optimized Al3HW structure, from Alexandria.

The total DFT energy (no corrections) comes out at -21.5 eV for the cell shown. The density is 3.628 Mg/m³. The value obtained for the total magnetization is 1.2 μB per formula unit.

The structure belongs to space group Pm-3m (No. 221); the cell edges are 4.955, 4.955 and 4.955 Å and the angles 90.00°, 90.00° and 90.00°. The asymmetric unit holds Al at (0.000, 0.000, 0.500), H at (0.500, 0.500, 0.500) and W at (0.000, 0.000, 0.000).

Record 6
The following is a PBE-GGA calculation of a geometry-optimized Al2HW structure, from Alexandria.

The total DFT energy (no corrections) comes out at -89.3 eV for the cell shown. The density is 7.761 Mg/m³. The value obtained for the total magnetization is 0.0 μB per formula unit.

The structure belongs to space group I-42d (No. 122); the cell edges are 5.697, 5.697 and 6.297 Å and the angles 90.00°, 90.00° and 90.00°. The asymmetric unit holds Al at (0.135, 0.250, 0.125), H at (0.000, 0.000, 0.000) and W at (0.000, 0.000, 0.500).

Record 7
The following is a PBE-GGA calculation of a geometry-optimized Al2HW structure, from Alexandria.

The total DFT energy (no corrections) comes out at -81.0 eV for the cell shown. The density is 7.026 Mg/m³. The value obtained for the total magnetization is 0.0 μB per formula unit.

The structure belongs to space group Fm-3m (No. 225); the cell edges are 6.089, 6.089 and 6.089 Å and the angles 90.00°, 90.00° and 90.00°. The asymmetric unit holds Al at (0.250, 0.250, 0.250), H at (0.000, 0.000, 0.000) and W at (0.000, 0.000, 0.500).

Record 8
The following is a PBE-GGA calculation of a geometry-optimized Al2H6W structure, from Alexandria.

The total DFT energy (no corrections) comes out at -159.6 eV for the cell shown. The density is 5.917 Mg/m³. The value obtained for the total magnetization is 0.0 μB per formula unit.

The structure belongs to space group Fm-3m (No. 225); the cell edges are 6.493, 6.493 and 6.493 Å and the angles 90.00°, 90.00° and 90.00°. The asymmetric unit holds Al at (0.250, 0.250, 0.250), H at (0.000, 0.000, 0.227) and W at (0.000, 0.000, 0.500).

Record 9
The following is a PBE-GGA calculation of a geometry-optimized AlH4W structure, from Alexandria.

The total DFT energy (no corrections) comes out at -114.3 eV for the cell shown. The density is 7.060 Mg/m³. The value obtained for the total magnetization is 0.0 μB per formula unit.

The structure belongs to space group Cccm (No. 66); the cell edges are 4.760, 7.802 and 5.443 Å and the angles 90.00°, 90.00° and 90.00°. The asymmetric unit holds Al at (0.000, 0.000, 0.250), H at (0.000, 0.330, 0.250), H at (0.175, 0.130, 0.000) and W at (0.000, 0.500, 0.000).

Record 10
The following is a PBE-GGA calculation of a geometry-optimized AlHW structure, from Alexandria.

The total DFT energy (no corrections) comes out at -156.9 eV for the cell shown. The density is 10.298 Mg/m³. The value obtained for the total magnetization is 0.0 μB per formula unit.

The structure belongs to space group P2_1/c (No. 14); the cell edges are 5.709, 9.016 and 5.534 Å and the angles 90.00°, 106.43° and 90.00°. The asymmetric unit holds Al at (0.005, 0.232, 0.360), Al at (0.275, 0.520, 0.453), H at (0.038, 0.565, 0.647), H at (0.245, 0.101, 0.676), W at (0.256, 0.535, 0.938) and W at (0.462, 0.244, 0.232).

Record 11
The following is a PBE-GGA calculation of a geometry-optimized Zr2AlHW structure, from Alexandria.

The total DFT energy (no corrections) comes out at -31.1 eV for the cell shown. The density is 5.223 Mg/m³. The value obtained for the total magnetization is 0.0 μB per formula unit.

The structure belongs to space group P4/mmm (No. 123); the cell edges are 5.038, 5.038 and 4.939 Å and the angles 90.00°, 90.00° and 90.00°. The asymmetric unit holds Zr at (0.000, 0.500, 0.000), Al at (0.000, 0.000, 0.500), H at (0.500, 0.500, 0.500) and W at (0.000, 0.000, 0.000).